1) A plane-wave DFT calculation with PBE-GGA was carried out for a relaxed ZnTcI2O crystal. Values from VASP.

The structure in Quantum ESPRESSO input format:
```
&SYSTEM
  ibrav = 0, nat = 5, ntyp = 4
/
ATOMIC_SPECIES
Zn 65.41 Zn.upf
I 126.90 I.upf
Tc 98.00 Tc.upf
O 16.00 O.upf
ATOMIC_POSITIONS crystal
Zn 0.0000 0.0000 0.0000
I 0.0000 0.5000 0.0000
I 0.5000 0.0000 0.0000
Tc 0.5000 0.5000 0.5000
O 0.0000 0.0000 0.5000
CELL_PARAMETERS angstrom
5.8007 0.0000 0.0000
0.0000 5.8007 0.0000
0.0000 0.0000 3.6396
```

---

2) A plane-wave DFT calculation with PBE-GGA was carried out for a relaxed ZnTcI2O crystal. Values from VASP.

The structure in Quantum ESPRESSO input format:
```
&SYSTEM
  ibrav = 0, nat = 5, ntyp = 4
/
ATOMIC_SPECIES
I 126.90 I.upf
Zn 65.41 Zn.upf
Tc 98.00 Tc.upf
O 16.00 O.upf
ATOMIC_POSITIONS crystal
I 0.5000 0.0000 0.0000
I 0.0000 0.5000 0.0000
Zn 0.5000 0.5000 0.5000
Tc 0.0000 0.0000 0.0000
O 0.0000 0.0000 0.5000
CELL_PARAMETERS angstrom
5.6231 0.0000 0.0000
0.0000 5.6231 0.0000
0.0000 0.0000 3.7577
```

---

Relative energies in meV per atom: 1) 605; 2) 0

---

1) A plane-wave DFT calculation with PBE-GGA was carried out for a relaxed ZnTcIO2 crystal. Values from VASP.

The structure in Quantum ESPRESSO input format:
```
&SYSTEM
  ibrav = 0, nat = 5, ntyp = 4
/
ATOMIC_SPECIES
O 16.00 O.upf
Zn 65.41 Zn.upf
I 126.90 I.upf
Tc 98.00 Tc.upf
ATOMIC_POSITIONS crystal
O 0.5000 0.0000 0.0000
O 0.0000 0.5000 0.0000
Zn 0.0000 0.0000 0.0000
I 0.0000 0.0000 0.5000
Tc 0.5000 0.5000 0.5000
CELL_PARAMETERS angstrom
-3.1784 -1.5337 1.7788
2.2217 -0.9921 3.1143
-1.1419 5.2516 2.4875
```

---

2) A plane-wave DFT calculation with PBE-GGA was carried out for a relaxed ZnTcIO2 crystal. Values from VASP.

The structure in Quantum ESPRESSO input format:
```
&SYSTEM
  ibrav = 0, nat = 5, ntyp = 4
/
ATOMIC_SPECIES
Zn 65.41 Zn.upf
I 126.90 I.upf
O 16.00 O.upf
Tc 98.00 Tc.upf
ATOMIC_POSITIONS crystal
Zn 0.5000 0.5000 0.5000
I 0.0000 0.0000 0.5000
O 0.0000 0.5000 0.0000
O 0.5000 0.0000 0.0000
Tc 0.0000 0.0000 0.0000
CELL_PARAMETERS angstrom
3.8632 0.0000 0.0000
0.0000 3.8632 0.0000
0.0000 0.0000 6.1989
```

---

Relative energies in meV per atom: 1) 1000; 2) 0

---

1) A plane-wave DFT calculation with PBE-GGA was carried out for a relaxed ZrTcIO2 crystal. Values from VASP.

The structure in Quantum ESPRESSO input format:
```
&SYSTEM
  ibrav = 0, nat = 5, ntyp = 4
/
ATOMIC_SPECIES
I 126.90 I.upf
O 16.00 O.upf
Tc 98.00 Tc.upf
Zr 91.22 Zr.upf
ATOMIC_POSITIONS crystal
I 0.0000 0.0000 0.5000
O 0.0000 0.5000 0.0000
O 0.5000 0.0000 0.0000
Tc 0.5000 0.5000 0.5000
Zr 0.0000 0.0000 0.0000
CELL_PARAMETERS angstrom
4.0970 0.0000 0.0000
0.0000 4.0970 0.0000
0.0000 0.0000 6.2163
```

---

2) A plane-wave DFT calculation with PBE-GGA was carried out for a relaxed ZrTcIO2 crystal. Values from VASP.

The structure in Quantum ESPRESSO input format:
```
&SYSTEM
  ibrav = 0, nat = 5, ntyp = 4
/
ATOMIC_SPECIES
I 126.90 I.upf
O 16.00 O.upf
Tc 98.00 Tc.upf
Zr 91.22 Zr.upf
ATOMIC_POSITIONS crystal
I 0.0000 0.0000 0.5000
O 0.0000 0.5000 0.0000
O 0.5000 0.0000 0.0000
Tc 0.0000 0.0000 0.0000
Zr 0.5000 0.5000 0.5000
CELL_PARAMETERS angstrom
3.8995 0.0000 0.0000
0.0000 3.8995 0.0000
0.0000 0.0000 6.2337
```

---

Relative energies in meV per atom: 1) 0; 2) 575

---

1) A plane-wave DFT calculation with PBE-GGA was carried out for a relaxed ZrTcI2O crystal. Values from VASP.

The structure in Quantum ESPRESSO input format:
```
&SYSTEM
  ibrav = 0, nat = 5, ntyp = 4
/
ATOMIC_SPECIES
Tc 98.00 Tc.upf
Zr 91.22 Zr.upf
O 16.00 O.upf
I 126.90 I.upf
ATOMIC_POSITIONS crystal
Tc 0.0000 0.0000 0.0000
Zr 0.5000 0.5000 0.5000
O 0.0000 0.0000 0.5000
I 0.0000 0.5000 0.0000
I 0.5000 0.0000 0.0000
CELL_PARAMETERS angstrom
5.6109 0.0000 0.0000
0.0000 5.6109 0.0000
0.0000 0.0000 3.7188
```

---

2) A plane-wave DFT calculation with PBE-GGA was carried out for a relaxed ZrTcI2O crystal. Values from VASP.

The structure in Quantum ESPRESSO input format:
```
&SYSTEM
  ibrav = 0, nat = 5, ntyp = 4
/
ATOMIC_SPECIES
I 126.90 I.upf
O 16.00 O.upf
Zr 91.22 Zr.upf
Tc 98.00 Tc.upf
ATOMIC_POSITIONS crystal
I 0.5000 0.0000 0.0000
I 0.0000 0.0000 0.5000
O 0.0000 0.5000 0.0000
Zr 0.0000 0.0000 0.0000
Tc 0.5000 0.5000 0.5000
CELL_PARAMETERS angstrom
5.8873 0.0000 0.0000
0.0000 3.9909 0.0000
0.0000 0.0000 5.8873
```

---

Relative energies in meV per atom: 1) 156; 2) 0

---

1) A plane-wave DFT calculation with PBE-GGA was carried out for a relaxed TeI2O2 crystal. Values from VASP.

The structure in Quantum ESPRESSO input format:
```
&SYSTEM
  ibrav = 0, nat = 5, ntyp = 3
/
ATOMIC_SPECIES
O 16.00 O.upf
Te 127.60 Te.upf
I 126.90 I.upf
ATOMIC_POSITIONS crystal
O 0.5000 0.0000 0.0000
O 0.0000 0.5000 0.0000
Te 0.0000 0.0000 0.0000
I 0.5000 0.5000 0.5000
I 0.0000 0.0000 0.5000
CELL_PARAMETERS angstrom
-3.9460 -1.3980 0.7549
0.9344 -3.6766 -1.9249
2.1437 -2.7021 6.2018
```

---

2) A plane-wave DFT calculation with PBE-GGA was carried out for a relaxed TeI2O2 crystal. Values from VASP.

The structure in Quantum ESPRESSO input format:
```
&SYSTEM
  ibrav = 0, nat = 5, ntyp = 3
/
ATOMIC_SPECIES
I 126.90 I.upf
O 16.00 O.upf
Te 127.60 Te.upf
ATOMIC_POSITIONS crystal
I 0.0000 0.5000 0.0000
I 0.5000 0.0000 0.0000
O 0.0000 0.0000 0.5000
O 0.5000 0.5000 0.5000
Te 0.0000 0.0000 0.0000
CELL_PARAMETERS angstrom
-5.7508 -0.6786 -1.5250
1.5785 -0.4317 -5.7602
0.3659 -4.0001 0.4001
```

---

3) A plane-wave DFT calculation with PBE-GGA was carried out for a relaxed TeI2O2 crystal. Values from VASP.

The structure in Quantum ESPRESSO input format:
```
&SYSTEM
  ibrav = 0, nat = 5, ntyp = 3
/
ATOMIC_SPECIES
I 126.90 I.upf
Te 127.60 Te.upf
O 16.00 O.upf
ATOMIC_POSITIONS crystal
I 0.0000 0.0000 0.5000
I 0.0000 0.0000 0.0000
Te 0.5000 0.5000 0.5000
O 0.0000 0.5000 0.0000
O 0.5000 0.0000 0.0000
CELL_PARAMETERS angstrom
4.1932 0.0000 0.0000
0.0000 4.1932 0.0000
0.0000 0.0000 8.3826
```

---

4) A plane-wave DFT calculation with PBE-GGA was carried out for a relaxed TeI2O2 crystal. Values from VASP.

The structure in Quantum ESPRESSO input format:
```
&SYSTEM
  ibrav = 0, nat = 5, ntyp = 3
/
ATOMIC_SPECIES
O 16.00 O.upf
I 126.90 I.upf
Te 127.60 Te.upf
ATOMIC_POSITIONS crystal
O 0.0000 0.0000 0.0000
O 0.0000 0.0000 0.5000
I 0.0000 0.5000 0.0000
I 0.5000 0.0000 0.0000
Te 0.5000 0.5000 0.5000
CELL_PARAMETERS angstrom
4.9817 0.0000 0.0000
0.0000 4.9817 0.0000
0.0000 0.0000 4.1782
```

---

Relative energies in meV per atom: 1) 0; 2) 481; 3) 303; 4) 917

---

1) A plane-wave DFT calculation with PBE-GGA was carried out for a relaxed Te3IO crystal. Values from VASP.

The structure in Quantum ESPRESSO input format:
```
&SYSTEM
  ibrav = 0, nat = 5, ntyp = 3
/
ATOMIC_SPECIES
Te 127.60 Te.upf
O 16.00 O.upf
I 126.90 I.upf
ATOMIC_POSITIONS crystal
Te 0.0000 0.0000 0.5000
Te 0.5000 0.0000 0.0000
Te 0.0000 0.5000 0.0000
O 0.0000 0.0000 0.0000
I 0.5000 0.5000 0.5000
CELL_PARAMETERS angstrom
4.9855 0.0000 0.0000
0.0000 4.9855 0.0000
0.0000 0.0000 4.9855
```

---

2) A plane-wave DFT calculation with PBE-GGA was carried out for a relaxed Te3IO crystal. Values from VASP.

The structure in Quantum ESPRESSO input format:
```
&SYSTEM
  ibrav = 0, nat = 5, ntyp = 3
/
ATOMIC_SPECIES
I 126.90 I.upf
O 16.00 O.upf
Te 127.60 Te.upf
ATOMIC_POSITIONS crystal
I 0.0000 0.0000 0.0000
O 0.5000 0.5000 0.5000
Te 0.0000 0.0000 0.5000
Te 0.0000 0.5000 0.0000
Te 0.5000 0.0000 0.0000
CELL_PARAMETERS angstrom
5.7968 0.0000 0.0000
0.0000 5.7968 0.0000
0.0000 0.0000 5.7968
```

---

Relative energies in meV per atom: 1) 0; 2) 1111

---

1) A plane-wave DFT calculation with PBE-GGA was carried out for a relaxed TiTe2IO crystal. Values from VASP.

The structure in Quantum ESPRESSO input format:
```
&SYSTEM
  ibrav = 0, nat = 5, ntyp = 4
/
ATOMIC_SPECIES
Ti 47.87 Ti.upf
O 16.00 O.upf
Te 127.60 Te.upf
I 126.90 I.upf
ATOMIC_POSITIONS crystal
Ti 0.5000 0.5000 0.5000
O 0.0000 0.0000 0.0000
Te 0.5000 0.0000 0.0000
Te 0.0000 0.5000 0.0000
I 0.0000 0.0000 0.5000
CELL_PARAMETERS angstrom
4.4887 0.0000 0.0000
0.0000 4.4887 0.0000
0.0000 0.0000 6.1319
```

---

2) A plane-wave DFT calculation with PBE-GGA was carried out for a relaxed TiTe2IO crystal. Values from VASP.

The structure in Quantum ESPRESSO input format:
```
&SYSTEM
  ibrav = 0, nat = 5, ntyp = 4
/
ATOMIC_SPECIES
O 16.00 O.upf
I 126.90 I.upf
Te 127.60 Te.upf
Ti 47.87 Ti.upf
ATOMIC_POSITIONS crystal
O 0.5000 0.5000 0.5000
I 0.0000 0.0000 0.5000
Te 0.0000 0.5000 0.0000
Te 0.5000 0.0000 0.0000
Ti 0.0000 0.0000 0.0000
CELL_PARAMETERS angstrom
-4.9058 1.4023 1.3370
-1.9337 -3.7711 -3.1401
0.1219 -3.4328 4.0476
```

---

Relative energies in meV per atom: 1) 0; 2) 294

---

1) A plane-wave DFT calculation with PBE-GGA was carried out for a relaxed TiTeI2O crystal. Values from VASP.

The structure in Quantum ESPRESSO input format:
```
&SYSTEM
  ibrav = 0, nat = 5, ntyp = 4
/
ATOMIC_SPECIES
Te 127.60 Te.upf
I 126.90 I.upf
O 16.00 O.upf
Ti 47.87 Ti.upf
ATOMIC_POSITIONS crystal
Te 0.0000 0.0000 0.5000
I 0.5000 0.0000 0.0000
I 0.0000 0.5000 0.0000
O 0.0000 0.0000 0.0000
Ti 0.5000 0.5000 0.5000
CELL_PARAMETERS angstrom
-0.0405 3.0456 -4.2539
-4.2260 -2.5269 -1.7689
-2.6120 2.8983 2.0999
```

---

2) A plane-wave DFT calculation with PBE-GGA was carried out for a relaxed TiTeI2O crystal. Values from VASP.

The structure in Quantum ESPRESSO input format:
```
&SYSTEM
  ibrav = 0, nat = 5, ntyp = 4
/
ATOMIC_SPECIES
O 16.00 O.upf
Ti 47.87 Ti.upf
I 126.90 I.upf
Te 127.60 Te.upf
ATOMIC_POSITIONS crystal
O 0.0000 0.0000 0.5000
Ti 0.5000 0.5000 0.5000
I 0.5000 0.0000 0.0000
I 0.0000 0.5000 0.0000
Te 0.0000 0.0000 0.0000
CELL_PARAMETERS angstrom
6.1487 0.0000 0.0000
0.0000 6.1487 0.0000
0.0000 0.0000 4.0417
```

---

Relative energies in meV per atom: 1) 147; 2) 0